Material: AcZnCdGe
Method: DFT, GGA-PBE
State: relaxed

a = 7.3680 Å, b = 7.3680 Å, c = 7.3680 Å
α = 90.00°, β = 90.00°, γ = 90.00°
Positions (direct):
1 Ac 0.0000 0.0000 0.0000
2 Ac 0.0000 0.5000 0.5000
3 Ac 0.5000 0.0000 0.5000
4 Ac 0.5000 0.5000 0.0000
5 Zn 0.2500 0.2500 0.7500
6 Zn 0.2500 0.7500 0.2500
7 Zn 0.7500 0.2500 0.2500
8 Zn 0.7500 0.7500 0.7500
9 Cd 0.0000 0.0000 0.5000
10 Cd 0.0000 0.5000 0.0000
11 Cd 0.5000 0.0000 0.0000
12 Cd 0.5000 0.5000 0.5000
13 Ge 0.2500 0.2500 0.2500
14 Ge 0.2500 0.7500 0.7500
15 Ge 0.7500 0.2500 0.7500
16 Ge 0.7500 0.7500 0.2500

## Properties
V (Å³ per atom): 25.0
Space-group type: No. 216
VASP energy (eV/atom): -2.98
Calculated density (g/cm³): 7.93
Fermi-level density of states (states/eV/atom): 0.861